Record 1
Computed, not measured: crystalline TmCdRhAu at its relaxed geometry at the GGA-PBE level of DFT. Values from VASP.

Structure (Quantum ESPRESSO input):
```
&SYSTEM
  ibrav = 0, nat = 4, ntyp = 4
/
ATOMIC_SPECIES
Cd 112.41 Cd.upf
Tm 168.93 Tm.upf
Au 196.97 Au.upf
Rh 102.91 Rh.upf
ATOMIC_POSITIONS crystal
Cd 0.7500 0.7500 0.7500
Tm 0.2500 0.2500 0.2500
Au 0.0000 0.0000 0.0000
Rh 0.5000 0.5000 0.5000
CELL_PARAMETERS angstrom
4.7802 0.0000 0.0000
2.3901 4.1398 0.0000
2.3901 1.3799 3.9031
```

Computed properties:
Formation energy in meV/atom: -583
Volume in Å³/cell: 77.2

Record 2
Computed, not measured: crystalline ZnCdRh2Au at its relaxed geometry at the GGA-PBE level of DFT. Values from VASP.

Structure (Quantum ESPRESSO input):
```
&SYSTEM
  ibrav = 0, nat = 5, ntyp = 4
/
ATOMIC_SPECIES
Cd 112.41 Cd.upf
Au 196.97 Au.upf
Rh 102.91 Rh.upf
Zn 65.41 Zn.upf
ATOMIC_POSITIONS crystal
Cd 0.5000 0.5000 0.5000
Au 0.0000 0.5000 0.0000
Rh 0.0000 0.0000 0.5000
Rh 0.5000 0.0000 0.0000
Zn 0.0000 0.0000 0.0000
CELL_PARAMETERS angstrom
-1.3951 0.1168 -4.3961
-4.1890 -1.6126 1.2865
-1.4860 4.3282 0.5866
```

Computed properties:
Formation energy in meV/atom: 608
Volume in Å³/cell: 99.4

Record 3
Computed, not measured: crystalline ZrCdRhAu at its relaxed geometry at the GGA-PBE level of DFT. Values from VASP.

Structure (Quantum ESPRESSO input):
```
&SYSTEM
  ibrav = 0, nat = 4, ntyp = 4
/
ATOMIC_SPECIES
Rh 102.91 Rh.upf
Zr 91.22 Zr.upf
Au 196.97 Au.upf
Cd 112.41 Cd.upf
ATOMIC_POSITIONS crystal
Rh 0.2500 0.7500 0.5000
Zr 0.5000 0.5000 0.0000
Au 0.7500 0.2500 0.5000
Cd 0.0000 0.0000 0.0000
CELL_PARAMETERS angstrom
4.2685 0.0000 0.0000
0.0000 4.2686 -0.0002
-2.1343 -2.1345 3.9784
```

Computed properties:
Formation energy in meV/atom: -441
Volume in Å³/cell: 72.5

Record 4
Computed, not measured: crystalline Cd4RuAu at its relaxed geometry at the GGA-PBE level of DFT. Values from VASP.

Structure (Quantum ESPRESSO input):
```
&SYSTEM
  ibrav = 0, nat = 6, ntyp = 3
/
ATOMIC_SPECIES
Cd 112.41 Cd.upf
Au 196.97 Au.upf
Ru 101.07 Ru.upf
ATOMIC_POSITIONS crystal
Cd 0.3752 0.8743 0.3752
Cd 0.8743 0.3752 0.3752
Au 0.0000 0.0000 0.0000
Cd 0.3752 0.3752 0.3752
Ru 0.7500 0.7500 0.7500
Cd 0.3752 0.3752 0.8743
CELL_PARAMETERS angstrom
0.1801 -5.3468 -1.3768
-4.6276 -2.6281 -1.4815
-0.7481 -1.5254 -5.2564
```

Computed properties:
Formation energy in meV/atom: 461
Volume in Å³/cell: 119.2

Record 5
Computed, not measured: crystalline CdRu2Au at its relaxed geometry at the GGA-PBE level of DFT. Values from VASP.

Structure (Quantum ESPRESSO input):
```
&SYSTEM
  ibrav = 0, nat = 8, ntyp = 3
/
ATOMIC_SPECIES
Ru 101.07 Ru.upf
Au 196.97 Au.upf
Cd 112.41 Cd.upf
ATOMIC_POSITIONS crystal
Ru 0.3750 0.3627 0.7500
Ru 0.8750 0.8873 0.7500
Au 0.7500 0.2500 0.5000
Cd 0.5000 0.5000 0.0000
Ru 0.6373 0.1250 0.2500
Au 0.0000 0.0000 0.0000
Cd 0.2500 0.7500 0.5000
Ru 0.1127 0.6250 0.2500
CELL_PARAMETERS angstrom
-1.8870 6.9959 -1.8492
-3.9075 -2.5936 -5.8247
-5.0194 2.0257 -2.3352
```

Computed properties:
Formation energy in meV/atom: 920
Volume in Å³/cell: 145.7

Record 6
Computed, not measured: crystalline CdRuAu3 at its relaxed geometry at the GGA-PBE level of DFT. Values from VASP.

Structure (Quantum ESPRESSO input):
```
&SYSTEM
  ibrav = 0, nat = 5, ntyp = 3
/
ATOMIC_SPECIES
Au 196.97 Au.upf
Ru 101.07 Ru.upf
Cd 112.41 Cd.upf
ATOMIC_POSITIONS crystal
Au 0.0000 0.5000 0.0000
Ru 0.0000 0.0000 0.0000
Au 0.5000 0.0000 0.0000
Cd 0.5000 0.5000 0.5000
Au 0.0000 0.0000 0.5000
CELL_PARAMETERS angstrom
-0.9334 -4.7268 -1.5376
3.5514 -1.7288 3.1587
-3.4777 -0.4967 3.6383
```

Computed properties:
Energy relative to the lowest polymorph listed for this composition in meV/atom: 0
Formation energy in meV/atom: 935
Volume in Å³/cell: 129.4

Record 7
Computed, not measured: crystalline CdRu2Au at its relaxed geometry at the GGA-PBE level of DFT. Values from VASP.

Structure (Quantum ESPRESSO input):
```
&SYSTEM
  ibrav = 0, nat = 4, ntyp = 3
/
ATOMIC_SPECIES
Ru 101.07 Ru.upf
Au 196.97 Au.upf
Cd 112.41 Cd.upf
ATOMIC_POSITIONS crystal
Ru 0.5000 0.5000 0.0000
Au 0.2500 0.7500 0.5000
Cd 0.7500 0.2500 0.5000
Ru 0.0000 0.0000 0.0000
CELL_PARAMETERS angstrom
-2.3445 -4.5031 -0.4060
1.8507 -2.8990 -3.7563
2.0970 2.5775 3.8599
```

Computed properties:
Formation energy in meV/atom: 465
Volume in Å³/cell: 66.8

Record 8
Computed, not measured: crystalline CdRu2Au at its relaxed geometry at the GGA-PBE level of DFT. Values from VASP.

Structure (Quantum ESPRESSO input):
```
&SYSTEM
  ibrav = 0, nat = 4, ntyp = 3
/
ATOMIC_SPECIES
Au 196.97 Au.upf
Ru 101.07 Ru.upf
Cd 112.41 Cd.upf
ATOMIC_POSITIONS crystal
Au 0.5000 0.0000 0.5000
Ru 0.0000 0.0000 0.0000
Ru 0.5000 0.5000 0.0000
Cd 0.0000 0.5000 0.5000
CELL_PARAMETERS angstrom
5.0579 -0.0069 0.0000
-1.9897 4.6501 0.0000
0.0000 0.0000 2.8136
```

Computed properties:
Formation energy in meV/atom: 491
Volume in Å³/cell: 66.1